No. 1
First-principles (GGA-PBE) data for a relaxed structure of HfThGa, as listed in the Open Quantum Materials Database.

a = 4.8403 Å, b = 4.8403 Å, c = 4.8403 Å
α = 60.00°, β = 60.00°, γ = 60.00°
Fractional positions:
Hf  0.0000  0.0000  0.0000
Th  0.2500  0.2500  0.2500
Ga  0.7500  0.7500  0.7500

As for the symmetry: No. 216.



No. 2
First-principles (GGA-PBE) data for a relaxed structure of Nd2HfIn, as listed in the Open Quantum Materials Database.

a = 4.7551 Å, b = 4.7551 Å, c = 4.8238 Å
α = 90.00°, β = 90.00°, γ = 90.00°
Fractional positions:
Nd  0.0000  0.5000  0.0000
Nd  0.5000  0.0000  0.0000
Hf  0.0000  0.0000  0.5000
In  0.5000  0.5000  0.5000

As for the symmetry: No. 123.



No. 3
First-principles (GGA-PBE) data for a relaxed structure of NdYTh, as listed in the Open Quantum Materials Database.

a = 5.4706 Å, b = 5.4706 Å, c = 5.4706 Å
α = 60.00°, β = 60.00°, γ = 60.00°
Fractional positions:
Nd  0.0000  0.0000  0.0000
Y  0.2500  0.2500  0.2500
Th  0.5000  0.5000  0.5000

Its energy of formation from the pure elements is 0.82 eV/atom. The calculation puts the energy above the lowest structure with this stoichiometry at 0 meV/atom. As for the symmetry: No. 216.



No. 4
First-principles (GGA-PBE) data for a relaxed structure of LuI, as listed in the Open Quantum Materials Database.

a = 4.3446 Å, b = 4.3446 Å, c = 4.3446 Å
α = 60.00°, β = 60.00°, γ = 60.00°
Fractional positions:
Lu  0.0000  0.0000  0.0000
I  0.5000  0.5000  0.5000

As for the symmetry: No. 225.



Uncorrected energy for the records above, in order: -18.6 -22.6 -16.2 -6.3 eV for the cell shown